AgSn3P | PBE | relaxed

Summary:
- energy of formation (meV/atom) = 701
- energy relative to the lowest polymorph listed for this composition (meV per atom) = 176

Geometry as POSCAR:
```
AgSn3P
1.0
-2.494 4.292 1.789
-2.217 -2.882 3.823
4.087 1.056 3.166
P Sn Ag
1 3 1
Direct
0.500 0.500 0.500
0.000 0.500 0.000
0.000 0.000 0.500
0.500 0.000 0.000
0.000 0.000 0.000
```